Compound: Tb5PmTm2Th
Source: Alexandria
Functional: PBE
Structure: optimized geometry

Properties
Final energy (eV per atom): -4.75
Symmetry: Cmc2_1
Density of states at the Fermi level (states/eV per cell): 28.515

Cell: 10.476 10.476 10.317 Å, 90.00 90.00 148.79°
Fractional coordinates of all 18 atoms:
Tb 0.016 0.984 0.500
Tb 0.274 0.726 0.798
Tb 0.297 0.703 0.187
Tb 0.388 0.612 0.506
Tb 0.476 0.524 0.217
Tb 0.524 0.476 0.717
Tb 0.612 0.388 0.006
Tb 0.703 0.297 0.687
Tb 0.726 0.274 0.298
Tb 0.984 0.016 0.000
Pm 0.410 0.590 0.922
Pm 0.590 0.410 0.422
Tm 0.113 0.887 0.798
Tm 0.115 0.885 0.210
Tm 0.885 0.115 0.710
Tm 0.887 0.113 0.298
Th 0.197 0.803 0.496
Th 0.803 0.197 0.996